The following is a PBE with a Hubbard U calculation of a relaxed SbMo2O crystal, from Alexandria via LeMat-Bulk.

Total DFT energy (no corrections), Ry/atom: -0.41992
ρ, g/cm3: 5.898

Cell and atoms, written as CIF:
```
data_SbMo2O
_chemical_formula_sum 'Sb2 Mo4 O2'
_cell_length_a 5.496
_cell_length_b 5.496
_cell_length_c 7.270
_cell_angle_alpha 67.79
_cell_angle_beta 67.79
_cell_angle_gamma 90.00
_symmetry_space_group_name_H-M 'P 1'
_symmetry_Int_Tables_number 1
_symmetry_space_group_name_Hall 'P 1'
loop_
_atom_site_label
_atom_site_fract_x
_atom_site_fract_y
_atom_site_fract_z
Sb1 0.000 0.000 0.000
Sb2 0.750 0.250 0.500
Mo1 0.495 0.125 0.250
Mo2 0.255 0.625 0.250
Mo3 0.375 0.505 0.750
Mo4 0.875 0.745 0.750
O1 0.500 0.500 0.000
O2 0.250 0.750 0.500
```